Material: K3Cd2Hg
Method: DFT, PBE-GGA
State: relaxed

```
24
Lattice="8.899 0.000 0.000 0.000 11.339 0.000 -0.370 0.000 9.534" Properties=species:S:1:pos:R:3 pbc="T T T"
K 1.056 1.451 4.429
K 0.871 4.219 9.196
K 1.746 7.737 6.861
K 1.931 9.272 2.094
K 2.677 0.409 7.999
K 2.862 5.261 3.232
K 5.668 6.078 6.303
K 5.853 10.930 1.535
K 6.599 2.067 7.441
K 6.783 3.602 2.674
K 7.659 7.121 0.338
K 7.474 9.888 5.105
Cd 0.377 1.051 0.969
Cd 0.193 4.619 5.736
Cd 4.206 7.147 0.246
Cd 4.021 9.862 5.013
Cd 4.509 1.477 4.521
Cd 4.324 4.192 9.288
Cd 8.337 6.720 3.798
Cd 8.152 10.288 8.566
Hg 3.294 2.073 1.686
Hg 3.109 3.597 6.453
Hg 5.420 7.742 3.081
Hg 5.236 9.266 7.848
```



Material: K3Cd8Hg3
Method: DFT, PBE-GGA
State: relaxed

```
14
Lattice="9.130 -2.523 0.000 9.130 2.523 0.000 -6.082 0.000 8.696" Properties=species:S:1:pos:R:3 pbc="T T T"
K 0.000 0.000 0.000
K 3.641 0.000 2.657
K 8.537 0.000 6.039
Cd -2.769 0.000 7.307
Cd -0.095 0.000 3.631
Cd 0.008 0.000 8.506
Cd 7.292 0.000 2.600
Cd 4.886 0.000 6.096
Cd 12.170 0.000 0.190
Cd 12.273 0.000 5.065
Cd 14.947 0.000 1.389
Hg -3.041 0.000 4.348
Hg 1.832 0.000 6.087
Hg 10.346 0.000 2.609
```



16
Lattice="2.556 -9.526 0.000 2.556 9.526 0.000 0.000 0.000 10.653" Properties=species:S:1:pos:R:3 comment="K2CdHg5 | Alexandria via LeMat-Bulk | PBE-GGA | relaxed" e_above_lowest_polymorph_kj_per_mol_atoms=0.00 pbc="T T T"
K 0.000 0.000 0.000
K 0.000 0.000 5.327
K 2.556 5.640 7.990
K 2.556 -5.640 2.663
Cd 2.556 1.106 2.663
Cd 2.556 -1.106 7.990
Hg 2.556 5.845 1.147
Hg 2.556 5.845 4.179
Hg 2.556 2.816 0.288
Hg 2.556 2.816 5.039
Hg 2.556 1.829 7.990
Hg 2.556 -1.829 2.663
Hg 2.556 -2.816 5.615
Hg 2.556 -2.816 10.365
Hg 2.556 -5.845 6.474
Hg 2.556 -5.845 9.506



3
Lattice="0.000 3.990 3.990 3.990 0.000 3.990 3.990 3.990 0.000" Properties=species:S:1:pos:R:3 comment="KCdHg | Alexandria via LeMat-Bulk | PBE-GGA | relaxed" e_above_lowest_polymorph_kj_per_mol_atoms=22.61 pbc="T T T"
K 0.000 0.000 0.000
Cd 1.995 1.995 1.995
Hg 5.985 5.985 5.985



8
Lattice="-3.207 4.275 5.278 3.207 -4.275 5.278 3.207 4.275 -5.278" Properties=species:S:1:pos:R:3 comment="K3CdHg4 | Alexandria via LeMat-Bulk | PBE-GGA | relaxed" e_above_lowest_polymorph_kj_per_mol_atoms=2.10 pbc="T T T"
K 0.000 0.000 0.000
K 3.207 2.334 -1.378
K 0.000 1.941 3.900
Cd 3.207 0.000 4.585
Hg 3.207 -1.559 2.019
Hg 3.207 1.559 2.019
Hg 1.623 4.275 1.776
Hg 1.585 0.000 7.053



9
Lattice="9.373 0.000 0.000 -4.686 8.117 0.000 0.000 0.000 3.230" Properties=species:S:1:pos:R:3 comment="KCd2Hg6 | Alexandria via LeMat-Bulk | PBE-GGA | relaxed" e_above_lowest_polymorph_kj_per_mol_atoms=0.00 pbc="T T T"
K 0.000 0.000 0.000
Cd 0.000 5.411 0.000
Cd 4.686 2.706 0.000
Hg -1.589 2.752 1.615
Hg -3.098 5.365 1.615
Hg 3.177 0.000 1.615
Hg 1.589 2.752 1.615
Hg 6.195 0.000 1.615
Hg 3.098 5.365 1.615



5
Lattice="6.567 0.000 0.000 0.000 6.567 0.000 0.000 0.000 6.567" Properties=species:S:1:pos:R:3 comment="K3CdHg | Alexandria via LeMat-Bulk | PBE-GGA | relaxed" e_above_lowest_polymorph_kj_per_mol_atoms=16.05 pbc="T T T"
K 0.000 0.000 3.283
K 0.000 3.283 0.000
K 3.283 0.000 0.000
Cd 3.283 3.283 3.283
Hg 0.000 0.000 0.000



6
Lattice="4.461 0.000 0.000 0.000 4.461 0.000 0.000 0.000 10.046" Properties=species:S:1:pos:R:3 comment="KCdHg4 | Alexandria via LeMat-Bulk | PBE-GGA | relaxed" e_above_lowest_polymorph_kj_per_mol_atoms=4.63 pbc="T T T"
K 0.000 0.000 0.000
Cd 2.231 2.231 5.023
Hg 0.000 2.231 2.811
Hg 0.000 2.231 7.235
Hg 2.231 0.000 2.811
Hg 2.231 0.000 7.235



| no. | energy of formation (meV per atom) | density (g cm⁻³) | D(E_F) (states/eV per atom) |
| --- | --- | --- | --- |
| 1 | -100.6 | 3.75 | 0.5305 |
| 2 | -120.4 | 6.71 | 0.3885 |
| 3 | -189.4 | 7.64 | 0.3558 |
| 4 | 54.5 | 4.60 | 0.6546 |
| 5 | -175.7 | 5.92 | 0.6379 |
| 6 | -58.9 | 9.92 | 0.3163 |
| 7 | 54.3 | 2.52 | 0.7257 |
| 8 | -83.3 | 7.92 | 0.3342 |